Entry 1:
Density functional theory data (PBE-GGA) for a relaxed Na5InBi3 crystal.

Calculated values
For the calculated formation energy, the calculation gives -185 meV per atom. Its calculated density is 4.1 Mg/m³. For the energy above the most stable polymorph in this dataset, the calculation gives 3.7 kJ/mol of atoms. The value obtained for the total energy is -2.52 eV/atom.

Lattice parameters (Å, degrees): 9.6115 9.6115 10.4696 57.73 57.73 73.41
Positions (direct):
1 Na 0.9479 0.4023 0.3443
2 Na 0.2663 0.7337 0.0000
3 Na 0.8315 0.8315 0.9148
4 Na 0.5019 0.5019 0.2700
5 Na 0.4981 0.4981 0.7300
6 Na 0.1685 0.1685 0.0852
7 Na 0.4023 0.9479 0.3443
8 Na 0.7337 0.2663 0.0000
9 Na 0.0521 0.5977 0.6557
10 Na 0.5977 0.0521 0.6557
11 In 0.1627 0.1627 0.5856
12 In 0.8373 0.8373 0.4144
13 Bi 0.6499 0.6499 0.8436
14 Bi 0.6928 0.6928 0.3202
15 Bi 0.0000 0.0000 0.0000
16 Bi 0.0000 0.0000 0.5000
17 Bi 0.3501 0.3501 0.1564
18 Bi 0.3072 0.3072 0.6798


Entry 2:
Density functional theory data (PBE-GGA) for a relaxed BeCu2TePb crystal.

Calculated values
Its calculated density is 5.2 Mg/m³. The value obtained for the total energy is -2.56 eV/atom. The value obtained for the formation energy (no corrections) is 1.19 eV per atom.

Lattice parameters (Å, degrees): 4.8327 6.4306 4.8327 90.00 90.00 90.00
Positions (direct):
1 Pb 0.0000 0.0000 0.0000
2 Be 0.5000 0.5000 0.5000
3 Te 0.0000 0.5000 0.0000
4 Cu 0.0000 0.0000 0.5000
5 Cu 0.5000 0.0000 0.0000


Entry 3:
Density functional theory data (PBE-GGA) for a relaxed ZrU6 crystal.

Calculated values
For the calculated formation energy, the calculation gives 988 meV per atom. Its calculated density is 14.3 Mg/m³. The value obtained for the total energy is -9.91 eV/atom.

Lattice parameters (Å, degrees): 6.1215 6.1215 6.1215 109.47 109.47 109.47
Positions (direct):
1 Zr 0.0000 0.0000 0.0000
2 U 0.2500 0.7500 0.5000
3 U 0.5000 0.7500 0.2500
4 U 0.2500 0.5000 0.7500
5 U 0.7500 0.2500 0.5000
6 U 0.5000 0.2500 0.7500
7 U 0.7500 0.5000 0.2500


Entry 4:
Density functional theory data (PBE-GGA) for a relaxed UNiPdRu crystal.

Calculated values
For the calculated formation energy, the calculation gives -99 meV per atom. Its calculated density is 12.9 Mg/m³. For the energy above the most stable polymorph in this dataset, the calculation gives 29.9 kJ/mol of atoms. The value obtained for the total energy is -7.98 eV/atom.

Lattice parameters (Å, degrees): 4.5088 4.5088 4.5088 60.00 60.00 60.00
Site moments in Bohr magnetons follow the coordinates.
Positions (direct):
1 Ru 0.2500 0.2500 0.2500  -0.13
2 U 0.0000 0.0000 0.0000  1.52
3 Pd 0.5000 0.5000 0.5000  0.02
4 Ni 0.7500 0.7500 0.7500  -0.10


Entry 5:
Density functional theory data (PBE-GGA) for a relaxed ZrTaMn2 crystal.

Calculated values
For the calculated formation energy, the calculation gives 788 meV per atom. Its calculated density is 8.8 Mg/m³. The value obtained for the total energy is -8.90 eV/atom.

Lattice parameters (Å, degrees): 5.8586 5.8586 5.8586 58.59 151.87 129.74
Site moments in Bohr magnetons follow the coordinates.
Positions (direct):
1 Zr 0.0000 0.0000 0.0000  0.30
2 Ta 0.0000 0.5000 0.5000  0.34
3 Mn 0.0000 0.2595 0.2595  -2.86
4 Mn 0.0000 0.7405 0.7405  -2.86


Entry 6:
Density functional theory data (PBE-GGA) for a relaxed DyPaPb2Se6 crystal.

Calculated values
Its calculated density is 6.8 Mg/m³. The value obtained for the total energy is -5.37 eV/atom. The value obtained for the formation energy (no corrections) is -1.13 eV per atom.

Lattice parameters (Å, degrees): 7.4809 7.4810 7.7676 61.21 61.20 59.99
Positions (direct):
1 Dy 0.8217 0.8217 0.5349
2 Pa 0.3235 0.3235 0.0294
3 Pb 0.5232 0.5231 0.4306
4 Pb 0.0207 0.0207 0.9380
5 Se 0.5831 0.1864 0.2622
6 Se 0.1863 0.9683 0.2621
7 Se 0.9684 0.5832 0.2622
8 Se 0.4552 0.6837 0.7652
9 Se 0.6837 0.0957 0.7653
10 Se 0.0958 0.4553 0.7653


Number 1: V 345.73 Å³/f.u.. Number 2: V 150.19 Å³/f.u.. Number 3: V 176.59 Å³/f.u.. Number 4: V 64.81 Å³/f.u.. Number 5: V 72.41 Å³/f.u.. Number 6: V 312.85 Å³/f.u..